Record 1
Tb3Pu5S8 | GGA-PBE | relaxed

It has space group R-3m (No. 166, hexagonal axes), with a = 7.8928 Å, b = 7.8928 Å, c = 19.3683 Å, α = 90.00°, β = 90.00° and γ = 120.00°. The inequivalent atoms are Tb at (0.0000, 0.5000, 0.0000), Pu at (0.0000, 0.0000, 0.0000), Pu at (0.0000, 0.0000, 0.5000), Pu at (0.0000, 0.5000, 0.5000), S at (0.0000, 0.0000, 0.2507) and S at (0.0002, 0.5001, 0.2502).

The total energy is -445.88 eV per cell.


Record 2
TbPuS3 | GGA-PBE | relaxed

It has space group P2_1/m (No. 11), with a = 7.770 Å, b = 3.908 Å, c = 7.809 Å, α = 90.00°, β = 93.27° and γ = 90.00°. The inequivalent atoms are Tb at (0.178, 0.250, 0.142), Pu at (0.271, 0.250, 0.613), S at (0.117, 0.750, 0.379), S at (0.180, 0.750, 0.893) and S at (0.482, 0.250, 0.321).

The energy above the most stable polymorph in this dataset comes out at 59 meV per atom.


Record 3
TbPu4S6 | GGA-PBE | relaxed

It has space group Cmcm (No. 63), with a = 3.888 Å, b = 13.151 Å, c = 19.999 Å, α = 90.00°, β = 90.00° and γ = 90.00°. The inequivalent atoms are Tb at (0.000, 0.149, 0.250), Pu at (0.000, 0.094, 0.632), Pu at (0.000, 0.363, 0.543), S at (0.000, 0.000, 0.000), S at (0.000, 0.202, 0.750), S at (0.000, 0.274, 0.084) and S at (0.000, 0.452, 0.668).

The total energy is -425.48 eV per cell.


Record 4
TbPuS4 | GGA-PBE | relaxed

It has space group Cmmm (No. 65), with a = 8.795 Å, b = 8.916 Å, c = 4.105 Å, α = 90.00°, β = 90.00° and γ = 90.00°. The inequivalent atoms are Tb at (0.000, 0.000, 0.000), Pu at (0.000, 0.500, 0.500), S at (0.000, 0.313, 0.000) and S at (0.204, 0.000, 0.500).

The total energy is -87.44 eV per cell.


Record 5
TbPu3S6 | GGA-PBE | relaxed

It has space group P2_1/m (No. 11), with a = 10.911 Å, b = 3.981 Å, c = 11.344 Å, α = 90.00°, β = 108.05° and γ = 90.00°. The inequivalent atoms are Tb at (0.045, 0.250, 0.190), Pu at (0.161, 0.250, 0.583), Pu at (0.318, 0.750, 0.999), Pu at (0.432, 0.250, 0.332), S at (0.084, 0.750, 0.403), S at (0.112, 0.250, 0.961), S at (0.191, 0.750, 0.748), S at (0.255, 0.750, 0.223), S at (0.401, 0.250, 0.562) and S at (0.481, 0.250, 0.114).

The total energy is -179.87 eV per cell.


Record 6
TbPu4S5 | GGA-PBE | relaxed

It has space group I4/mmm (No. 139), with a = 3.957 Å, b = 3.957 Å, c = 27.940 Å, α = 90.00°, β = 90.00° and γ = 90.00°. The inequivalent atoms are Tb at (0.000, 0.000, 0.000), Pu at (0.000, 0.000, 0.200), Pu at (0.000, 0.000, 0.401), S at (0.000, 0.000, 0.100), S at (0.000, 0.000, 0.300) and S at (0.000, 0.000, 0.500).

The total energy is -201.56 eV per cell.


Record 7
Tb2PuS4 | GGA-PBE | relaxed

It has space group C2/m (No. 12), with a = 14.541 Å, b = 4.006 Å, c = 6.904 Å, α = 90.00°, β = 115.29° and γ = 90.00°. The inequivalent atoms are Tb at (0.226, 0.000, 0.220), Pu at (0.000, 0.500, 0.500), S at (0.129, 0.500, 0.945) and S at (0.141, 0.000, 0.509).

The energy above the most stable polymorph in this dataset comes out at 48 meV per atom.


Record 8
Tb2PuS4 | GGA-PBE | relaxed

It has space group Cmcm (No. 63), with a = 3.889 Å, b = 12.969 Å, c = 13.145 Å, α = 90.00°, β = 90.00° and γ = 90.00°. The inequivalent atoms are Tb at (0.000, 0.133, 0.069), Pu at (0.000, 0.380, 0.250), S at (0.000, 0.035, 0.250), S at (0.000, 0.227, 0.622) and S at (0.000, 0.500, 0.000).

The energy above the most stable polymorph in this dataset comes out at 0 meV per atom.


no.,density of states at the Fermi level (states/eV/cell)
1,115.16
2,18.18
3,128.56
4,14.43
5,44.19
6,67.03
7,21.58
8,60.77